[1]
Computed, not measured: a geometry-optimized LiSn4Pd15 structure at the PBE level of DFT.

Values from the calculation:
Energy of formation from the pure elements in eV/atom: -0.4449
Space-group type: P4/mmm (123)
M_tot in μB/f.u.: 0.000
VASP energy in eV per atom: -5.236

POSCAR file:
```
LiSn4Pd15
1.0
4.0402 0.0000 0.0000
0.0000 4.0402 0.0000
0.0000 0.0000 19.7635
Li Sn Pd
1 4 15
direct
0.0000 0.0000 0.0000
0.0000 0.0000 0.1926
0.0000 0.0000 0.3975
0.0000 0.0000 0.6025
0.0000 0.0000 0.8074
0.0000 0.5000 0.0944
0.0000 0.5000 0.2962
0.0000 0.5000 0.5000
0.0000 0.5000 0.7038
0.0000 0.5000 0.9056
0.5000 0.0000 0.0944
0.5000 0.0000 0.2962
0.5000 0.0000 0.5000
0.5000 0.0000 0.7038
0.5000 0.0000 0.9056
0.5000 0.5000 0.0000
0.5000 0.5000 0.1954
0.5000 0.5000 0.3984
0.5000 0.5000 0.6016
0.5000 0.5000 0.8046
```


[2]
Computed, not measured: a geometry-optimized Li4Sn3Pd structure at the PBE level of DFT.

Values from the calculation:
Energy of formation from the pure elements in eV/atom: -0.3041
Space-group type: C2/m (12)
M_tot in μB/f.u.: 0.000
VASP energy in eV per atom: -3.411

POSCAR file:
```
Li4Sn3Pd
1.0
11.5635 -1.5466 0.0000
11.5635 1.5466 0.0000
-0.3270 0.0000 4.4693
Li Sn Pd
4 3 1
direct
0.1026 0.1026 0.2166
0.2169 0.2169 0.2365
0.7831 0.7831 0.7635
0.8974 0.8974 0.7834
0.3450 0.3450 0.2773
0.5000 0.5000 0.5000
0.6550 0.6550 0.7227
0.0000 0.0000 0.0000
```


[3]
Computed, not measured: a geometry-optimized LiSn2Pd8 structure at the PBE level of DFT.

Values from the calculation:
Energy of formation from the pure elements in eV/atom: -0.4050
Relative energy among the computed polymorphs in eV/f.u.: 0.00
Space-group type: Immm (71)
M_tot in μB/f.u.: 0.000
VASP energy in eV per atom: -5.083

POSCAR file:
```
LiSn2Pd8
1.0
-2.1252 3.6440 5.8616
2.1252 -3.6440 5.8616
2.1252 3.6440 -5.8616
Li Sn Pd
1 2 8
direct
0.0000 0.0000 0.0000
0.3058 0.3058 0.0000
0.6942 0.6942 0.0000
0.1208 0.8459 0.2750
0.1424 0.6424 0.5000
0.2997 0.5000 0.7997
0.4291 0.1541 0.2750
0.5709 0.8459 0.7250
0.7003 0.5000 0.2003
0.8576 0.3576 0.5000
0.8792 0.1541 0.7250
```


[4]
Computed, not measured: a geometry-optimized Li8SnPd6 structure at the PBE level of DFT.

Values from the calculation:
Energy of formation from the pure elements in eV/atom: -0.3152
Space-group type: R-3 (148)
M_tot in μB/f.u.: 0.000
VASP energy in eV per atom: -3.680

POSCAR file:
```
Li8SnPd6
1.0
3.8440 2.2193 5.0963
-3.8440 2.2193 5.0963
0.0000 -4.4386 5.0963
Li Sn Pd
8 1 6
direct
0.0460 0.3760 0.7110
0.1665 0.1665 0.1665
0.2890 0.9540 0.6240
0.3760 0.7110 0.0460
0.6240 0.2890 0.9540
0.7110 0.0460 0.3760
0.8335 0.8335 0.8335
0.9540 0.6240 0.2890
0.5000 0.5000 0.5000
0.1204 0.7959 0.4587
0.2041 0.5413 0.8796
0.4587 0.1204 0.7959
0.5413 0.8796 0.2041
0.7959 0.4587 0.1204
0.8796 0.2041 0.5413
```


[5]
Computed, not measured: a geometry-optimized Li3Sn2Pd3 structure at the PBE level of DFT.

Values from the calculation:
Energy of formation from the pure elements in eV/atom: -0.6229
Relative energy among the computed polymorphs in eV/f.u.: 0.00
Space-group type: R3m (160)
M_tot in μB/f.u.: 0.000
VASP energy in eV per atom: -4.289

POSCAR file:
```
Li3Sn2Pd3
1.0
2.2480 1.2979 7.3417
-2.2480 1.2979 7.3417
0.0000 -2.5957 7.3417
Li Sn Pd
3 2 3
direct
0.0000 0.0000 0.0000
0.1271 0.1271 0.1271
0.6257 0.6257 0.6257
0.3774 0.3774 0.3774
0.8738 0.8738 0.8738
0.2523 0.2523 0.2523
0.5018 0.5018 0.5018
0.7499 0.7499 0.7499
```


[6]
Computed, not measured: a geometry-optimized LiSnPd structure at the PBE level of DFT.

Values from the calculation:
Energy of formation from the pure elements in eV/atom: -0.5552
Space-group type: Pnma (62)
M_tot in μB/f.u.: 0.000
VASP energy in eV per atom: -4.258

POSCAR file:
```
LiSnPd
1.0
5.5138 0.0000 0.0000
0.0000 4.3820 0.0000
0.0000 0.0000 8.4577
Li Sn Pd
4 4 4
direct
0.1358 0.2500 0.0015
0.3642 0.7500 0.5015
0.6358 0.2500 0.4985
0.8642 0.7500 0.9985
0.1318 0.2500 0.6519
0.3682 0.7500 0.1519
0.6318 0.2500 0.8481
0.8682 0.7500 0.3481
0.1879 0.2500 0.3250
0.3121 0.7500 0.8250
0.6879 0.2500 0.1750
0.8121 0.7500 0.6750
```


[7]
Computed, not measured: a geometry-optimized LiSn3Pd5 structure at the PBE level of DFT.

Values from the calculation:
Energy of formation from the pure elements in eV/atom: -0.5447
Relative energy among the computed polymorphs in eV/f.u.: 0.00
Space-group type: P6_3/mcm (193)
M_tot in μB/f.u.: 0.000
VASP energy in eV per atom: -4.977

POSCAR file:
```
LiSn3Pd5
1.0
7.9565 0.0000 0.0000
-3.9783 6.8906 0.0000
0.0000 0.0000 5.6556
Li Sn Pd
2 6 10
direct
0.0000 0.0000 0.0000
0.0000 0.0000 0.5000
0.0000 0.3579 0.2500
0.0000 0.6421 0.7500
0.3579 0.0000 0.2500
0.3579 0.3579 0.7500
0.6421 0.0000 0.7500
0.6421 0.6421 0.2500
0.0000 0.3060 0.7500
0.0000 0.6940 0.2500
0.3060 0.0000 0.7500
0.3060 0.3060 0.2500
0.3333 0.6667 0.0000
0.3333 0.6667 0.5000
0.6667 0.3333 0.0000
0.6667 0.3333 0.5000
0.6940 0.0000 0.2500
0.6940 0.6940 0.7500
```


[8]
Computed, not measured: a geometry-optimized Li3Sn4Pd4 structure at the PBE level of DFT.

Values from the calculation:
Energy of formation from the pure elements in eV/atom: -0.4335
Space-group type: Immm (71)
M_tot in μB/f.u.: 0.000
VASP energy in eV per atom: -4.299

POSCAR file:
```
Li3Sn4Pd4
1.0
-1.5937 4.1769 7.8830
1.5937 -4.1769 7.8830
1.5937 4.1769 -7.8830
Li Sn Pd
3 4 4
direct
0.0000 0.0000 0.0000
0.4014 0.9014 0.5000
0.5986 0.0986 0.5000
0.0542 0.3409 0.7133
0.3724 0.6591 0.7133
0.6276 0.3409 0.2867
0.9458 0.6591 0.2867
0.2463 0.2463 0.0000
0.3024 0.5000 0.8024
0.6976 0.5000 0.1976
0.7537 0.7537 0.0000
```